# CeSc5Pt4 (PBE, optimized geometry)
data_CeSc5Pt4
_chemical_formula_sum 'Ce1 Sc5 Pt4'
_cell_length_a 3.380
_cell_length_b 3.380
_cell_length_c 17.116
_cell_angle_alpha 90.00
_cell_angle_beta 90.00
_cell_angle_gamma 90.00
_symmetry_space_group_name_H-M 'P 1'
_symmetry_Int_Tables_number 1
loop_
_symmetry_equiv_pos_as_xyz
'x,y,z'
loop_
_atom_site_label
_atom_site_fract_x
_atom_site_fract_y
_atom_site_fract_z
Ce1 0.000 0.000 0.000
Sc1 0.500 0.500 0.135
Sc2 0.500 0.500 0.317
Sc3 0.500 0.500 0.500
Sc4 0.500 0.500 0.683
Sc5 0.500 0.500 0.865
Pt1 0.000 0.000 0.226
Pt2 0.000 0.000 0.409
Pt3 0.000 0.000 0.591
Pt4 0.000 0.000 0.774
# Electronic total energy: -71.470 eV for the cell shown
# ρ: 9.726 g cm⁻³
# Formation energy from the elements: -0.971 eV per atom